Material: TlCr2
Method: DFT, PBE
State: relaxed

Cell: 5.0722 5.0722 8.3928 Å, 90.00 90.00 120.00°
Last column: nearest neighbours and their distance in Å.
Space group P6_3/mmc (No. 194)
Asymmetric unit:
Tl: 0.3333 0.6667 0.0629 [4 per cell]  12 Cr 2.98-3.00, 4 Tl 3.11-3.14
Cr: 0.0000 0.0000 0.0000 [2 per cell]  6 Cr 2.57
Cr: 0.1692 0.3384 0.7500 [6 per cell]  6 Cr 2.50-2.57

**Relative energy among the computed polymorphs**: 288 meV/atom
**DFT formation energy**: 728 meV/atom